No. 1
## Sr2TlBr (PBE)

Data for a relaxed structure of Sr2TlBr.

Output
Theoretical density: 5.137 g/cm³
Uncorrected formation energy: -0.92 eV per atom
Distance to the lowest polymorph of the same formula: 41.9 meV/atom

Cell and atoms, written as POSCAR:
```
Sr2TlBr
1.0
4.328 0.000 0.000
2.164 3.748 0.000
2.164 1.249 9.157
Sr Tl Br
2 1 1
Cartesian
2.164 1.249 2.236
2.164 1.249 6.889
6.492 3.748 9.144
4.328 2.499 4.624
```

***

No. 2
## Sr2TlBr (PBE)

Data for a relaxed structure of Sr2TlBr.

Output
Theoretical density: 5.115 g/cm³
Uncorrected formation energy: -0.91 eV per atom
Distance to the lowest polymorph of the same formula: 53.1 meV/atom

Cell and atoms, written as POSCAR:
```
Sr2TlBr
1.0
4.688 0.000 0.000
0.000 4.688 0.000
0.000 0.000 6.789
Sr Br Tl
2 1 1
Cartesian
0.000 0.000 5.938
2.344 2.344 2.547
2.344 2.344 5.941
0.000 0.000 2.545
```

***

No. 3
## SrTl3Br6 (PBE)

Data for a relaxed structure of SrTl3Br6.

Output
Theoretical density: 4.819 g/cm³
Uncorrected formation energy: -1.11 eV per atom

Cell and atoms, written as POSCAR:
```
SrTl3Br6
1.0
0.114 -6.494 6.708
8.577 2.878 2.311
-3.900 6.226 5.763
Br Sr Tl
12 2 6
Cartesian
3.301 -0.699 9.511
0.034 -0.355 6.390
1.490 3.310 5.271
7.461 -1.347 7.308
3.900 0.000 5.074
4.757 2.965 8.392
2.472 7.022 7.447
-1.813 -1.252 10.297
0.891 2.610 9.708
2.319 -4.412 7.335
-2.670 3.957 7.474
6.604 3.862 4.485
0.000 0.000 0.000
2.395 1.305 7.391
0.887 -0.011 11.528
3.904 2.621 3.254
2.948 5.075 9.962
6.274 0.444 9.702
-1.483 2.166 5.081
1.843 -2.464 4.820
```

***

No. 4
## Sr5Tl2Br12 (PBE)

Data for a relaxed structure of Sr5Tl2Br12.

Output
Theoretical density: 4.097 g/cm³
Uncorrected formation energy: -1.80 eV per atom

Cell and atoms, written as POSCAR:
```
Sr5Tl2Br12
1.0
8.657 0.000 0.000
-4.329 7.890 -3.025
0.000 -0.594 10.943
Br Sr Tl
12 5 2
Cartesian
-2.045 4.134 7.469
2.283 3.162 0.448
4.329 -0.223 8.879
4.329 6.341 -0.460
1.931 1.854 4.479
6.374 3.162 0.448
0.000 0.955 8.377
0.000 7.519 -0.962
-2.398 5.442 3.439
2.398 5.442 3.439
6.727 1.854 4.479
2.045 4.134 7.469
4.329 2.882 9.133
0.000 4.413 -1.216
0.000 4.322 4.994
4.329 2.973 2.923
0.000 -0.297 5.471
6.830 0.000 0.000
1.827 0.000 0.000
```